The following is a PBE calculation of CsTl2AgHg after structural relaxation, from the Alexandria database.

Output
Polymorph energy (0 for the lowest one) (eV per atom): 0.000
ΔH_f (0 K) (eV/atom): 0.036
Space-group type: P4/mmm

Unit cell a=5.663 b=5.663 c=5.759 alpha=90.00 beta=90.00 gamma=90.00
Element x y z (fractional)
1 Cs 0.000 0.000 0.000
2 Tl 0.000 0.500 0.500
3 Tl 0.500 0.000 0.500
4 Ag 0.500 0.500 0.500
5 Hg 0.500 0.500 0.000



The following is a PBE calculation of AcErIr4 after structural relaxation, from the Alexandria database.

Output
ΔH_f (0 K) (eV/atom): -0.639
Space-group type: F-43m

Unit cell a=5.462 b=5.462 c=5.462 alpha=60.00 beta=60.00 gamma=60.00
Element x y z (fractional)
1 Ac 0.000 0.000 0.000
2 Er 0.250 0.250 0.250
3 Ir 0.127 0.624 0.624
4 Ir 0.624 0.127 0.624
5 Ir 0.624 0.624 0.127
6 Ir 0.624 0.624 0.624



The following is a PBE calculation of TbHPt2 after structural relaxation, from the Alexandria database.

Output
Raw total energy (eV/atom): -4.853
Space-group type: R-3m

Unit cell a=8.124 b=8.124 c=8.124 alpha=21.28 beta=21.28 gamma=21.28
Element x y z (fractional)
1 Tb 0.000 0.000 0.000
2 H 0.500 0.500 0.500
3 Pt 0.115 0.115 0.115
4 Pt 0.885 0.885 0.885



The following is a PBE calculation of Np2Co2Ge3 after structural relaxation, from the Alexandria database.

Output
ΔH_f (0 K) (eV/atom): -0.242
Space-group type: Cmcm

Unit cell a=9.081 b=9.081 c=6.593 alpha=90.00 beta=90.00 gamma=153.38
Element x y z (fractional)
1 Np 0.047 0.953 0.750
2 Np 0.164 0.836 0.250
3 Np 0.836 0.164 0.750
4 Np 0.953 0.047 0.250
5 Co 0.300 0.700 0.050
6 Co 0.300 0.700 0.450
7 Co 0.700 0.300 0.550
8 Co 0.700 0.300 0.950
9 Ge 0.215 0.785 0.750
10 Ge 0.432 0.568 0.557
11 Ge 0.432 0.568 0.943
12 Ge 0.568 0.432 0.057
13 Ge 0.568 0.432 0.443
14 Ge 0.785 0.215 0.250



The following is a PBE calculation of PrSmHo2As4 after structural relaxation, from the Alexandria database.

Output
ΔH_f (0 K) (eV/atom): -1.514
Space-group type: P2/m

Unit cell a=7.239 b=4.185 c=7.244 alpha=90.00 beta=109.48 gamma=90.00
Element x y z (fractional)
1 Pr 0.000 0.000 0.000
2 Sm 0.000 0.500 0.500
3 Ho 0.500 0.000 0.500
4 Ho 0.500 0.500 0.000
5 As 0.259 0.000 0.750
6 As 0.261 0.500 0.256
7 As 0.739 0.500 0.744
8 As 0.741 0.000 0.250



The following is a PBE calculation of Ho3TmTh2 after structural relaxation, from the Alexandria database.

Output
Polymorph energy (0 for the lowest one) (eV per atom): 0.120
ΔH_f (0 K) (eV/atom): 0.146
Space-group type: C2/m

Unit cell a=11.778 b=11.778 c=10.066 alpha=108.05 beta=108.05 gamma=16.84
Element x y z (fractional)
1 Ho 0.059 0.059 0.444
2 Ho 0.195 0.195 0.713
3 Ho 0.432 0.432 0.223
4 Ho 0.568 0.568 0.777
5 Ho 0.805 0.805 0.287
6 Ho 0.941 0.941 0.556
7 Tm 0.188 0.188 0.037
8 Tm 0.812 0.812 0.963
9 Th 0.190 0.190 0.376
10 Th 0.428 0.428 0.865
11 Th 0.572 0.572 0.135
12 Th 0.810 0.810 0.624